Entry 1:
Compound: MnAgPt2
Source: Alexandria
Functional: PBE
Structure: relaxed

```
MnAgPt2
1.0
-3.591 3.591 2.689
3.591 -3.591 2.689
3.591 3.591 -2.689
Mn Ag Pt
2 2 4
Cartesian
0.000 0.000 0.000
0.000 3.591 1.344
3.591 0.000 1.344
0.000 0.000 2.689
5.386 1.600 -0.672
1.600 1.795 0.672
-1.795 1.991 2.017
1.991 1.795 3.361
```

- Crystal system: tetragonal
- Calculated volume: 17.34 A^3/atom

***

Entry 2:
Compound: MnAgPt2
Source: Alexandria
Functional: PBE
Structure: relaxed

```
MnAgPt2
1.0
3.352 0.000 0.000
0.000 3.352 0.000
0.000 0.000 5.718
Mn Ag Pt
1 1 2
Cartesian
0.000 0.000 0.000
1.676 1.676 4.175
0.000 0.000 2.705
1.676 1.676 1.216
```

- Crystal system: tetragonal
- Calculated volume: 16.06 A^3/atom

***

Entry 3:
Compound: MnAgPt2
Source: Alexandria
Functional: PBE
Structure: relaxed

```
MnAgPt2
1.0
2.828 0.000 0.000
0.000 2.828 0.000
0.000 0.000 7.951
Mn Ag Pt
1 1 2
Cartesian
0.000 0.000 0.000
1.414 1.414 5.909
0.000 0.000 3.818
1.414 1.414 1.771
```

- Crystal system: tetragonal
- Calculated volume: 15.90 A^3/atom

***

Entry 4:
Compound: Mn2AgPt
Source: Alexandria
Functional: PBE
Structure: relaxed

```
Mn2AgPt
1.0
4.347 0.000 0.000
0.000 4.347 0.000
0.000 0.000 3.349
Mn Ag Pt
2 1 1
Cartesian
0.000 2.174 0.000
2.174 0.000 0.000
0.000 0.000 1.674
2.174 2.174 1.674
```

- Crystal system: tetragonal
- Calculated volume: 15.82 A^3/atom

***

Entry 5:
Compound: MnAgPt2
Source: Alexandria
Functional: PBE
Structure: relaxed

```
MnAgPt2
1.0
4.012 0.000 0.000
0.000 4.012 0.000
0.000 0.000 3.916
Mn Ag Pt
1 1 2
Cartesian
0.000 0.000 0.000
2.006 2.006 0.000
0.000 2.006 1.958
2.006 0.000 1.958
```

- Crystal system: tetragonal
- Calculated volume: 15.75 A^3/atom

***

Entry 6:
Compound: Mn2AgPt
Source: Alexandria
Functional: PBE
Structure: relaxed

```
Mn2AgPt
1.0
2.862 0.000 0.000
0.000 2.862 0.000
0.000 0.000 7.525
Mn Ag Pt
2 1 1
Cartesian
0.000 0.000 0.000
1.431 1.431 1.751
1.431 1.431 5.546
0.000 0.000 3.425
```

- Crystal system: tetragonal
- Calculated volume: 15.41 A^3/atom

***

Entry 7:
Compound: Mn2AgPt
Source: Alexandria
Functional: PBE
Structure: relaxed

```
Mn2AgPt
1.0
0.000 3.156 3.156
3.156 0.000 3.156
3.156 3.156 0.000
Mn Ag Pt
2 1 1
Cartesian
0.000 0.000 0.000
1.578 1.578 1.578
4.733 4.733 4.733
3.156 3.156 3.156
```

- Crystal system: cubic
- Calculated volume: 15.71 A^3/atom

***

Entry 8:
Compound: Mn2AgPt
Source: Alexandria
Functional: PBE
Structure: relaxed

```
Mn2AgPt
1.0
-3.579 3.579 2.756
3.579 -3.579 2.756
3.579 3.579 -2.756
Mn Ag Pt
4 2 2
Cartesian
5.369 1.684 -0.689
1.684 1.790 0.689
-1.790 1.896 2.067
1.896 1.790 3.445
3.579 0.000 1.378
0.000 0.000 2.756
0.000 0.000 0.000
0.000 3.579 1.378
```

- Crystal system: tetragonal
- Calculated volume: 17.66 A^3/atom

***

| no. | energy relative to the elements (eV/atom) |
| --- | --- |
| 1 | 0.16 |
| 2 | -0.03 |
| 3 | -0.05 |
| 4 | -0.02 |
| 5 | -0.19 |
| 6 | 0.11 |
| 7 | 0.11 |
| 8 | 0.35 |